# 1
The following is a DFT calculation (PBE) of crystalline Sb4AsPb at its relaxed geometry.

The structure in POSCAR format:
```
Sb4AsPb
1.0
0.000 4.417 4.417
4.417 0.000 4.417
4.417 4.417 0.000
Sb Pb As
4 1 1
direct
0.376 0.873 0.376
0.376 0.376 0.873
0.873 0.376 0.376
0.376 0.376 0.376
0.000 0.000 0.000
0.750 0.750 0.750
```

Results
DOS at the Fermi energy = 3.98 states/eV per cell
raw total energy = -3.7227 eV per atom
total magnetization = 0.00 μB/cell
V = 28.72 A^3/atom

# 2
The following is a DFT calculation (PBE) of crystalline Na2MnInRh at its relaxed geometry.

The structure in POSCAR format:
```
Na2MnInRh
1.0
5.122 0.000 0.000
0.000 5.069 0.000
0.000 0.000 5.122
In Na Mn Rh
1 2 1 1
direct
0.000 0.500 0.000
0.500 0.000 0.000
0.000 0.000 0.500
0.000 0.000 0.000
0.500 0.500 0.500
```

Results
DOS at the Fermi energy = 5.31 states/eV per cell
calculated formation energy = 5.566 eV per formula unit
raw total energy = -3.2663 eV per atom
total magnetization = 4.71 μB/cell
V = 26.60 A^3/atom

# 3
The following is a DFT calculation (PBE) of crystalline YCd2Pd9 at its relaxed geometry.

The structure in POSCAR format:
```
YCd2Pd9
1.0
-1.948 -3.454 -0.885
1.740 -1.801 3.200
-9.369 3.477 7.051
Pd Cd Y
9 2 1
direct
0.500 0.000 0.500
0.500 0.000 0.828
0.500 0.500 0.000
0.500 0.000 0.172
0.000 0.500 0.828
0.500 0.500 0.665
0.000 0.500 0.172
0.500 0.500 0.335
0.000 0.500 0.500
0.000 0.000 0.662
0.000 0.000 0.338
0.000 0.000 0.000
```

Results
DOS at the Fermi energy = 15.53 states/eV per cell
calculated formation energy = -5.201 eV per formula unit
raw total energy = -5.0192 eV per atom
total magnetization = 0.00 μB/cell
V = 16.83 A^3/atom

# 4
The following is a DFT calculation (PBE) of crystalline ScNiMo at its relaxed geometry.

The structure in POSCAR format:
```
ScNiMo
1.0
5.982 0.000 -0.002
0.000 3.274 0.000
-3.372 0.000 9.888
Mo Sc Ni
4 4 4
direct
0.341 0.500 0.692
0.659 0.500 0.308
0.659 0.000 0.808
0.341 0.000 0.192
0.000 0.500 0.000
0.500 0.000 0.500
0.500 0.500 0.000
0.000 0.000 0.500
0.160 0.000 0.828
0.840 0.000 0.172
0.160 0.500 0.328
0.840 0.500 0.672
```

Results
DOS at the Fermi energy = 10.67 states/eV per cell
distance to the lowest polymorph of the same formula = 21 kJ/mol of formula units
calculated formation energy = -0.128 eV per formula unit
raw total energy = -7.6908 eV per atom
total magnetization = 0.00 μB/cell
V = 16.14 A^3/atom